No. 1
The following is a GGA-PBE calculation of a relaxed ThPaPb crystal, from OQMD.

extended XYZ file:
```
3
Lattice="4.791 -2.114 -0.280 0.601 -4.916 -1.724 2.205 -0.889 -4.674" Properties=species:S:1:pos:R:3 pbc="T T T"
Pa 3.799 -3.959 -3.339
Pb 1.899 -1.980 -1.669
Th 0.000 0.000 0.000
```

Volume: 102 Å³/cell
VASP energy: -0.4653 Ry per atom
Magnetization: 1.36 μB/cell
Density: 10.91 g cm⁻³
Space group: F-43m (216)

=====

No. 2
The following is a GGA-PBE calculation of a relaxed PaTlPb crystal, from OQMD.

extended XYZ file:
```
3
Lattice="-4.393 -2.287 1.659 -4.273 2.875 0.869 -4.109 -0.395 -3.201" Properties=species:S:1:pos:R:3 pbc="T T T"
Pa 0.000 0.000 0.000
Pb -3.194 0.048 -0.168
Tl -9.581 0.145 -0.504
```

Volume: 101 Å³/cell
VASP energy: -0.3463 Ry per atom
Magnetization: 1.45 μB/cell
Density: 10.59 g cm⁻³
Space group: F-43m (216)